# 1
A plane-wave DFT calculation with GGA-PBE was carried out for a relaxed Er4Bi5Ir crystal.

The structure in extended XYZ format:
```
10
Lattice="-1.0401 1.7695 3.8013 5.2142 -5.2956 3.8918 8.5542 2.9730 -1.4981" Properties=species:S:1:pos:R:3 pbc="T T T"
Bi 7.4711 -2.3872 3.1555
Bi 8.5309 0.2270 4.6834
Bi 2.0870 -1.7631 3.8466
Bi 4.1973 -0.7801 1.5116
Bi 5.2571 1.8341 3.0395
Er 4.6695 -3.8057 3.0492
Er 10.6721 -2.2720 3.9778
Er 8.0587 3.2527 3.1458
Er 2.0561 1.7190 2.2172
Ir -0.5201 0.8848 1.9007
```

energy of formation from the pure elements	-0.5004	eV/atom
total magnetic moment	0.00	μB/cell
uncorrected energy	-5.152	eV per atom


# 2
A plane-wave DFT calculation with GGA-PBE was carried out for a relaxed Pm3NdDy2Er6 crystal.

The structure in extended XYZ format:
```
12
Lattice="6.1771 0.0003 0.0062 -3.0868 5.3506 0.0062 -1.0378 -1.7969 11.5595" Properties=species:S:1:pos:R:3 pbc="T T T"
Pm 1.0263 1.7770 5.7859
Pm -2.0601 3.5595 5.7859
Pm 4.1126 -0.0055 5.7859
Dy 0.0005 3.5675 0.0062
Dy 3.0898 1.7834 0.0062
Er 3.0835 1.7694 8.6951
Er 2.0610 -0.0011 2.8767
Er 2.0578 3.5631 2.8825
Er -1.0310 1.7846 2.8767
Er -0.0053 -0.0091 8.6894
Er -0.0084 3.5551 8.6951
Nd 0.0000 0.0000 0.0000
```

energy of formation from the pure elements	0.0170	eV/atom
total magnetic moment	0.00	μB/cell
uncorrected energy	-4.616	eV per atom


# 3
A plane-wave DFT calculation with GGA-PBE was carried out for a relaxed TbMg2Ag6 crystal.

The structure in extended XYZ format:
```
9
Lattice="-3.0251 0.7345 0.4778 -3.7425 -5.1892 -5.3373 -3.0385 -7.3592 2.4556" Properties=species:S:1:pos:R:3 pbc="T T T"
Ag -4.0157 -4.2787 1.9126
Ag -5.3341 -8.9414 0.7333
Ag -5.0219 -5.5406 -2.5176
Ag -4.4719 -2.8725 -3.1371
Ag -5.7903 -7.5352 -4.3164
Ag -4.7841 -6.2733 0.1138
Tb 0.0000 0.0000 0.0000
Mg -2.8370 -4.3169 -0.9458
Mg -6.9690 -7.4970 -1.4580
```

energy of formation from the pure elements	-0.1201	eV/atom
total magnetic moment	0.00	μB/cell
uncorrected energy	-2.890	eV per atom


# 4
A plane-wave DFT calculation with GGA-PBE was carried out for a relaxed NaTiBO4 crystal.

The structure in extended XYZ format:
```
7
Lattice="-1.6103 3.0703 -4.0677 -5.0101 -0.3875 -1.8205 -3.4708 3.9721 0.8609" Properties=species:S:1:pos:R:3 pbc="T T T"
B -2.5228 1.6637 -1.2568
Ti -5.0456 3.3274 -2.5136
O -3.6579 2.4123 -1.8223
O -6.4138 2.1991 -2.8237
O -4.5436 4.1011 -4.0598
O -5.5671 4.5972 -1.3488
Na -7.5684 4.9911 -3.7705
```

ΔE_f (raw)	-2450	meV/atom
total magnetic moment	0.00	μB/cell
uncorrected energy	-7.554	eV per atom


# 5
A plane-wave DFT calculation with GGA-PBE was carried out for a relaxed PuPaRh2 crystal.

The structure in extended XYZ format:
```
4
Lattice="3.4537 0.0000 0.0000 0.0000 3.4537 0.0000 0.0000 0.0000 6.9702" Properties=species:S:1:pos:R:3 pbc="T T T"
Pu 1.7269 1.7269 3.4851
Pa 1.7269 1.7269 0.0000
Rh 0.0000 0.0000 1.5229
Rh 0.0000 0.0000 5.4473
```

energy of formation from the pure elements	-0.5709	eV/atom
total magnetic moment	5.80	μB/cell
ΔE to the lowest computed polymorph	0.000	eV/atom
uncorrected energy	-10.204	eV per atom


# 6
A plane-wave DFT calculation with GGA-PBE was carried out for a relaxed Ac2BeAsN4 crystal.

The structure in extended XYZ format:
```
16
Lattice="-2.7572 -3.3190 1.3072 1.7763 -5.3217 -1.9905 3.8450 -2.8789 8.5751" Properties=species:S:1:pos:R:3 pbc="T T T"
Ac -1.0778 -6.1646 1.5119
Ac 2.0245 -2.4539 5.8143
Ac -0.9367 -3.7440 4.0680
Ac 2.5632 -7.0145 7.0335
N 1.2737 -5.1906 5.2336
N 1.7241 -3.2245 3.0479
N -0.9814 -3.3650 1.2248
N 1.2025 -8.2198 4.8143
N 1.5278 -6.4043 2.6879
N 0.9912 -5.5069 -0.4057
N 2.4043 -9.8893 7.3502
N 3.3140 -4.2779 7.6142
As -1.3786 -1.6595 0.6536
As 2.1213 -4.9300 3.6191
Be 0.7427 -6.5896 4.2727
Be 0.0000 0.0000 0.0000
```

ΔE_f (raw)	-480	meV/atom
total magnetic moment	0.00	μB/cell
uncorrected energy	-6.717	eV per atom